An optimized crystal structure of Tl2ZnPdI, computed with GGA-PBE.

```
Tl2ZnPdI
1.0
5.241 0.000 0.000
0.000 5.734 0.000
0.000 0.000 5.241
Pd Tl Zn I
1 2 1 1
direct
0.500 0.500 0.500
0.500 0.000 0.000
0.000 0.000 0.500
0.000 0.000 0.000
0.000 0.500 0.000
```

Crystal system ... tetragonal
DOS(E_F) ... 0.39 states/eV per atom
SG ... P4/mmm
Uncorrected formation energy ... 10.16 kcal/mol of atoms
ρ ... 7.460 g cm⁻³



An optimized crystal structure of Tm4PdI5, computed with GGA-PBE.

```
Tm4PdI5
1.0
4.012 0.000 -0.874
-0.433 8.609 -1.988
0.064 0.208 9.944
I Pd Tm
5 1 4
direct
0.820 0.166 0.640
0.168 0.341 0.337
0.180 0.834 0.360
0.500 0.500 0.000
0.832 0.659 0.663
0.500 0.000 0.000
0.642 0.072 0.284
0.001 0.204 0.003
0.358 0.928 0.716
0.999 0.796 0.997
```

Crystal system ... monoclinic
DOS(E_F) ... 0.33 states/eV per atom
SG ... C2/m
Uncorrected formation energy ... -24.62 kcal/mol of atoms
ρ ... 6.805 g cm⁻³